# 1
{
  "formula": "V4GaRh5",
  "functional": "PBE",
  "state": "optimized geometry",
  "lattice_angstrom": [[3.164, 0.000, 0.000], [0.000, 3.164, 0.000], [0.000, 0.000, 14.006]],
  "species": ["V", "V", "V", "V", "Ga", "Rh", "Rh", "Rh", "Rh", "Rh"],
  "frac_coords": [[0.000, 0.000, 0.098], [0.000, 0.000, 0.294], [0.000, 0.000, 0.706], [0.000, 0.000, 0.902], [0.000, 0.000, 0.500], [0.500, 0.500, 0.000], [0.500, 0.500, 0.196], [0.500, 0.500, 0.397], [0.500, 0.500, 0.603], [0.500, 0.500, 0.804]],
  "e_form_ev_per_fu": -3.16,
  "sg": "P4/mmm",
  "crystal_system": "tetragonal"
}

# 2
{
  "formula": "Pm2ScIn3Te6",
  "functional": "PBE",
  "state": "optimized geometry",
  "lattice_angstrom": [[3.825, -6.617, 0.000], [3.825, 6.617, 0.000], [-2.551, 0.000, 8.063]],
  "species": ["Pm", "Pm", "Sc", "In", "In", "In", "Te", "Te", "Te", "Te", "Te", "Te"],
  "frac_coords": [[0.166, 0.834, 0.000], [0.834, 0.166, 0.000], [0.500, 0.500, 0.000], [0.000, 0.000, 0.500], [0.328, 0.672, 0.500], [0.672, 0.328, 0.500], [0.111, 0.427, 0.782], [0.258, 0.258, 0.224], [0.427, 0.111, 0.782], [0.573, 0.889, 0.218], [0.742, 0.742, 0.776], [0.889, 0.573, 0.218]],
  "sg": "C2/m",
  "crystal_system": "monoclinic",
  "raw_formation_energy_mev_per_atom": -936
}

# 3
{
  "formula": "Cs2As2Pd",
  "functional": "PBE",
  "state": "optimized geometry",
  "lattice_angstrom": [[3.813, 0.000, 0.000], [0.000, 3.813, 0.000], [0.000, 0.000, 22.484]],
  "species": ["Cs", "Cs", "Cs", "Cs", "As", "As", "As", "As", "Pd", "Pd"],
  "frac_coords": [[0.000, 0.000, 0.104], [0.000, 0.000, 0.896], [0.500, 0.500, 0.396], [0.500, 0.500, 0.604], [0.000, 0.500, 0.250], [0.000, 0.500, 0.750], [0.500, 0.000, 0.250], [0.500, 0.000, 0.750], [0.000, 0.000, 0.500], [0.500, 0.500, 0.000]],
  "e_form_ev_per_fu": 0.40,
  "de_polymorph_mev_per_atom": 609,
  "sg": "I4/mmm",
  "crystal_system": "tetragonal"
}

no.,raw total energy (eV per atom),theoretical density (g/cm³)
1,-7.942,9.33
2,-4.511,5.88
3,-3.160,5.30